No. 1
VASP calculation (PBE-GGA) on a relaxed structure of Ho2Ag2Hg.

a b c (Å): 9.1393 7.0973 7.9075
angles (deg): 90.00 113.08 90.00
Space group C2/c (No. 15)
Asymmetric unit:
Ho (0.2221, 0.0663, 0.3345) (multiplicity 8)
Ag (0.0316, 0.2056, 0.9469) (multiplicity 8)
Hg (0.0000, 0.4186, 0.2500) (multiplicity 4)

D(E_F): 3.0 states/eV/f.u.
Magnetic moment: 0.00 μB per cell
Calculated formation energy: -6.795 kcal/mol of atoms
Crystal system: monoclinic
ρ: 10.5 Mg/m³



No. 2
VASP calculation (PBE-GGA) on a relaxed structure of Na2TlSbPt.

a b c (Å): 5.5349 5.5349 4.9734
angles (deg): 90.00 90.00 90.00
Space group P4/mmm (No. 123)
Asymmetric unit:
Na (0.0000, 0.5000, 0.0000) (multiplicity 2)
Tl (0.0000, 0.0000, 0.5000) (multiplicity 1)
Sb (0.5000, 0.5000, 0.5000) (multiplicity 1)
Pt (0.5000, 0.5000, 0.0000) (multiplicity 1)

D(E_F): 1.7 states/eV/f.u.
Magnetic moment: 0.00 μB per cell
Crystal system: tetragonal
ρ: 6.2 Mg/m³
Calculated total energy: -3.226 eV per atom



No. 3
VASP calculation (PBE-GGA) on a relaxed structure of Dy3Tm4Al4.

a b c (Å): 5.0951 6.7021 16.8015
angles (deg): 90.00 90.00 90.00
Space group Immm (No. 71)
Asymmetric unit:
Dy (0.0000, 0.0000, 0.0000) (multiplicity 2)
Dy (0.0000, 0.5000, 0.1010) (multiplicity 4)
Tm (0.0000, 0.2644, 0.3198) (multiplicity 8)
Al (0.0000, 0.0000, 0.1747) (multiplicity 4)
Al (0.0000, 0.2038, 0.5000) (multiplicity 4)

D(E_F): 10.5 states/eV/f.u.
Magnetic moment: 0.00 μB per cell
Calculated formation energy: -4.305 kcal/mol of atoms
Crystal system: orthorhombic
ρ: 7.4 Mg/m³